Compound: Np2Be4ZnSi3
Source: Alexandria via LeMat-Bulk
Functional: PBE
Structure: optimized geometry

Cell and atoms, written as extended XYZ:
```
10
Lattice="3.855 0.000 0.000 0.000 3.855 0.000 0.000 0.000 9.615" Properties=species:S:1:pos:R:3 pbc="T T T"
Np 0.000 1.928 2.347
Np 1.928 0.000 7.268
Be 0.000 0.000 0.000
Be 0.000 1.928 6.112
Be 1.928 0.000 3.503
Be 1.928 1.928 0.000
Zn 0.000 0.000 4.808
Si 0.000 1.928 8.349
Si 1.928 0.000 1.267
Si 1.928 1.928 4.808
```

Calculated values
SG = P-4m2 (115)
energy relative to the elements, uncorrected = -0.166 eV/atom